Material: TaMnOs2
Method: DFT, PBE-GGA
State: relaxed

Lattice parameters (Å, degrees): 8.969 2.770 4.793 90.00 100.76 90.00
Space group C2/m (No. 12)
Asymmetric unit:
Ta: 0.000 0.000 0.000 (multiplicity 2)
Mn: 0.000 0.500 0.500 (multiplicity 2)
Os: 0.240 0.000 0.727 (multiplicity 4)

Calculated total energy in eV/atom: -10.852
ΔH_f (0 K) in kJ/mol of atoms: 1.8
D(E_F) in states/eV/atom: 1.035

---

Material: Mg4ZrRh
Method: DFT, PBE-GGA
State: relaxed

Lattice parameters (Å, degrees): 7.766 7.766 7.766 90.00 90.00 90.00
Space group F-43m (No. 216)
Asymmetric unit:
Mg: 0.125 0.125 0.125 (multiplicity 16)
Zr: 0.000 0.000 0.500 (multiplicity 4)
Rh: 0.250 0.250 0.750 (multiplicity 4)

Calculated total energy in eV/atom: -3.564
ΔH_f (0 K) in kJ/mol of atoms: 14.4
D(E_F) in states/eV/atom: 0.943

---

Material: PmPuIN2
Method: DFT, PBE-GGA
State: relaxed

Lattice parameters (Å, degrees): 7.374 4.162 7.963 90.00 106.10 90.00
Space group P2_1/m (No. 11)
Asymmetric unit:
Pm: 0.152 0.250 0.417 (multiplicity 2)
Pu: 0.139 0.250 0.910 (multiplicity 2)
I: 0.464 0.750 0.740 (multiplicity 2)
N: 0.003 0.750 0.361 (multiplicity 2)
N: 0.027 0.750 0.896 (multiplicity 2)

Energy relative to the elements, uncorrected in eV/atom: -1.3527
Calculated total energy in eV/atom: -8.809
D(E_F) in states/eV/atom: 1.270

---

Material: Sm3PtI3
Method: DFT, PBE-GGA
State: relaxed

Lattice parameters (Å, degrees): 9.314 4.202 12.635 90.00 91.02 90.00
Space group P2_1/m (No. 11)
Asymmetric unit:
Sm: 0.091 0.250 0.388 (multiplicity 2)
Sm: 0.118 0.250 0.845 (multiplicity 2)
Sm: 0.316 0.750 0.621 (multiplicity 2)
Pt: 0.115 0.250 0.623 (multiplicity 2)
I: 0.137 0.250 0.113 (multiplicity 2)
I: 0.376 0.750 0.876 (multiplicity 2)
I: 0.387 0.750 0.369 (multiplicity 2)

Energy relative to the elements, uncorrected in eV/atom: -1.2057
Calculated total energy in eV/atom: -4.755
D(E_F) in states/eV/atom: 0.879

---

Material: Na2NdBiO4
Method: DFT, PBE-GGA
State: relaxed

Lattice parameters (Å, degrees): 6.035 3.568 6.165 90.00 109.72 90.00
Space group P2/m (No. 10)
Asymmetric unit:
Na: 0.000 0.000 0.000 (multiplicity 1)
Na: 0.000 0.500 0.500 (multiplicity 1)
Nd: 0.500 0.000 0.500 (multiplicity 1)
Bi: 0.500 0.500 0.000 (multiplicity 1)
O: 0.273 0.000 0.754 (multiplicity 2)
O: 0.280 0.500 0.263 (multiplicity 2)

Energy relative to the elements, uncorrected in eV/atom: -1.9762
Calculated total energy in eV/atom: -5.866
D(E_F) in states/eV/atom: 0.000

---

Material: CaZn2Cd5
Method: DFT, PBE-GGA
State: relaxed

Lattice parameters (Å, degrees): 4.208 8.162 10.532 90.00 90.00 90.00
Space group Immm (No. 71)
Asymmetric unit:
Ca: 0.000 0.000 0.000 (multiplicity 2)
Zn: 0.000 0.500 0.264 (multiplicity 4)
Cd: 0.000 0.194 0.354 (multiplicity 8)
Cd: 0.000 0.500 0.000 (multiplicity 2)

Calculated total energy in eV/atom: -1.268
ΔH_f (0 K) in kJ/mol of atoms: -12.3
D(E_F) in states/eV/atom: 0.358

---

Material: ScIrI2N
Method: DFT, PBE-GGA
State: relaxed

Lattice parameters (Å, degrees): 5.767 5.767 3.808 90.00 90.00 90.00
Space group P4/mmm (No. 123)
Asymmetric unit:
Sc: 0.000 0.000 0.000 (multiplicity 1)
Ir: 0.500 0.500 0.500 (multiplicity 1)
I: 0.000 0.500 0.000 (multiplicity 2)
N: 0.000 0.000 0.500 (multiplicity 1)

Energy relative to the elements, uncorrected in eV/atom: 0.8237
Calculated total energy in eV/atom: -4.500
Offset from the most stable computed form in eV/atom: 0.608
D(E_F) in states/eV/atom: 1.574

---

Material: Dy2ErTm3Te6
Method: DFT, PBE-GGA
State: relaxed

Lattice parameters (Å, degrees): 18.879 4.299 8.687 90.00 103.95 90.00
Space group C2/m (No. 12)
Asymmetric unit:
Dy: 0.168 0.000 0.335 (multiplicity 4)
Er: 0.000 0.500 0.000 (multiplicity 2)
Tm: 0.000 0.500 0.500 (multiplicity 2)
Tm: 0.168 0.000 0.833 (multiplicity 4)
Te: 0.001 0.000 0.750 (multiplicity 4)
Te: 0.165 0.500 0.586 (multiplicity 4)
Te: 0.166 0.500 0.080 (multiplicity 4)

Energy relative to the elements, uncorrected in eV/atom: -1.2120
Calculated total energy in eV/atom: -5.048
D(E_F) in states/eV/atom: 0.521

---

Material: ZnTc2Os
Method: DFT, PBE-GGA
State: relaxed

Lattice parameters (Å, degrees): 9.164 2.739 4.681 90.00 100.19 90.00
Space group Cm (No. 8)
Asymmetric unit:
Zn: 0.000 0.000 0.000 (multiplicity 2)
Tc: 0.241 0.000 0.748 (multiplicity 2)
Tc: 0.496 0.000 0.497 (multiplicity 2)
Os: 0.258 0.500 0.260 (multiplicity 2)

Calculated total energy in eV/atom: -8.147
ΔH_f (0 K) in kJ/mol of atoms: 15.6
D(E_F) in states/eV/atom: 0.858

---

Material: Pr2PuGa4Au3
Method: DFT, PBE-GGA
State: relaxed

Lattice parameters (Å, degrees): 4.377 4.377 11.926 90.00 90.00 90.00
Space group P-4m2 (No. 115)
Asymmetric unit:
Pr: 0.000 0.500 0.228 (multiplicity 2)
Pu: 0.000 0.000 0.500 (multiplicity 1)
Ga: 0.000 0.000 0.000 (multiplicity 1)
Ga: 0.000 0.500 0.666 (multiplicity 2)
Ga: 0.500 0.500 0.000 (multiplicity 1)
Au: 0.000 0.500 0.877 (multiplicity 2)
Au: 0.500 0.500 0.500 (multiplicity 1)

Calculated total energy in eV/atom: -5.082
ΔH_f (0 K) in kJ/mol of atoms: -48.2
D(E_F) in states/eV/atom: 1.571

---

Material: Ca2Tm3Te6
Method: DFT, PBE-GGA
State: relaxed

Lattice parameters (Å, degrees): 7.515 13.013 7.739 90.00 108.99 90.00
Space group C2/m (No. 12)
Asymmetric unit:
Ca: 0.000 0.166 0.000 (multiplicity 4)
Tm: 0.000 0.000 0.500 (multiplicity 2)
Tm: 0.000 0.332 0.500 (multiplicity 4)
Te: 0.243 0.500 0.739 (multiplicity 4)
Te: 0.249 0.165 0.742 (multiplicity 8)

Energy relative to the elements, uncorrected in eV/atom: -1.4573
Calculated total energy in eV/atom: -4.754
D(E_F) in states/eV/atom: 0.352

---

Material: BaZrCl3
Method: DFT, PBE-GGA
State: relaxed

Lattice parameters (Å, degrees): 5.120 5.120 5.120 90.00 90.00 90.00
Space group Pm-3m (No. 221)
Asymmetric unit:
Ba: 0.000 0.000 0.000 (multiplicity 1)
Zr: 0.500 0.500 0.500 (multiplicity 1)
Cl: 0.000 0.500 0.500 (multiplicity 3)

Energy relative to the elements, uncorrected in eV/atom: -1.3458
Calculated total energy in eV/atom: -4.548
Offset from the most stable computed form in eV/atom: 0.000
D(E_F) in states/eV/atom: 0.936